# 1
4
Lattice="0.000 2.980 2.980 2.980 0.000 2.980 2.980 2.980 0.000" Properties=species:S:1:pos:R:3 comment="CrCuTc2 | Alexandria | PBE-GGA | relaxed" energy_ev_per_atom=-8.3673 e_form_mev_per_atom=246 de_polymorph_kj_per_mol_fu=19 pbc="T T T"
Cu 2.980 2.980 2.980
Tc 4.470 4.470 4.470
Tc 1.490 1.490 1.490
Cr 0.000 0.000 0.000

---

# 2
40
Lattice="-0.586 -6.198 -5.189 3.712 -8.114 9.273 -11.075 -4.311 6.400" Properties=species:S:1:pos:R:3 comment="Rb3TlCl6 | Alexandria | PBE-GGA | relaxed" e_form_raw_kj_per_mol_atoms=-144 energy_ev_per_atom=-3.1279 pbc="T T T"
Cl -0.308 -5.159 3.542
Cl -5.549 -10.616 3.497
Cl -2.400 -8.007 6.987
Cl -0.904 -8.767 10.554
Cl -3.936 -10.689 10.956
Cl -10.426 -12.203 4.783
Cl -7.640 -13.465 6.942
Cl -4.897 -10.834 7.145
Cl -4.285 -4.260 2.091
Cl -2.073 -11.102 4.909
Cl -3.664 -14.364 8.393
Cl -8.433 -14.814 10.630
Cl 2.477 -6.420 5.702
Cl -4.013 -7.934 -0.472
Cl -9.449 -8.908 2.723
Cl -2.034 -5.053 -2.633
Cl -7.044 -9.857 -0.070
Cl 0.484 -3.810 -0.146
Cl -5.876 -7.522 5.575
Cl -3.051 -7.790 3.339
Cl -0.234 -9.694 1.515
Cl -7.715 -8.930 8.969
Cl -5.914 -13.571 13.117
Cl 1.500 -9.715 7.761
Rb 0.043 -8.443 4.663
Rb -6.320 -7.205 2.236
Rb -6.584 -12.143 9.818
Rb 0.281 -12.756 3.446
Rb -6.344 -16.443 8.611
Rb -8.230 -5.867 7.039
Rb -4.687 -13.622 4.896
Rb -1.604 -2.180 1.873
Rb -3.262 -5.001 5.588
Rb -7.992 -10.181 5.821
Rb -1.365 -6.480 0.667
Rb -1.629 -11.418 8.248
Tl 1.856 -4.057 4.637
Tl -0.293 -3.099 -2.594
Tl -5.538 -2.156 3.200
Tl -3.974 -9.312 5.242

---

# 3
5
Lattice="-0.182 -1.727 -4.943 1.837 -3.858 1.280 -4.723 -4.273 1.667" Properties=species:S:1:pos:R:3 comment="CeThSc3 | Alexandria | PBE-GGA | relaxed" energy_ev_per_atom=-6.0821 e_form_mev_per_atom=388 de_polymorph_kj_per_mol_fu=159 pbc="T T T"
Sc -1.871 -3.032 -2.871
Sc 0.848 -4.212 -2.558
Sc -2.880 -5.762 -1.880
Th 0.206 -1.343 -0.761
Ce -1.180 -4.230 0.299